Record 1
VASP calculation (meta-GGA SCAN) on Cd2AsP at its PBEsol-relaxed geometry.

POSCAR file:
```
Cd2AsP
1.0
3.749 0.000 0.000
0.000 3.749 0.000
0.000 0.000 5.569
Cd As P
2 1 1
Cartesian
0.000 0.000 1.372
0.000 0.000 4.197
1.874 1.874 2.784
1.874 1.874 0.000
```

Computed properties:
Calculated volume: 78 Å³ per cell
E_form: 0.31 eV per atom
Energy above the lowest structure with this stoichiometry: 0.000 eV per atom
Total energy: -22.55 eV/atom

=====

Record 2
VASP calculation (meta-GGA SCAN) on NaTlNF2 at its PBEsol-relaxed geometry.

POSCAR file:
```
NaTlNF2
1.0
4.303 0.000 0.000
0.000 4.303 0.000
0.000 0.000 4.443
Na Tl N F
1 1 1 2
Cartesian
0.000 0.000 0.000
2.151 2.151 2.221
0.000 0.000 2.221
0.000 2.151 0.000
2.151 0.000 0.000
```

Computed properties:
Calculated volume: 82 Å³ per cell
Total energy: -19.33 eV/atom

=====

Record 3
VASP calculation (meta-GGA SCAN) on AlAg2Pt at its PBEsol-relaxed geometry.

POSCAR file:
```
AlAg2Pt
1.0
1.438 0.830 8.781
-1.438 0.830 8.781
0.000 -1.660 8.781
Al Ag Pt
1 2 1
Cartesian
0.000 0.000 0.000
0.000 0.000 6.622
0.000 0.000 13.049
0.000 0.000 19.471
```

Computed properties:
Calculated volume: 63 Å³ per cell
E_form: -0.32 eV per atom
Energy above the lowest structure with this stoichiometry: 0.055 eV per atom
Total energy: -35.49 eV/atom

=====

Record 4
VASP calculation (meta-GGA SCAN) on MgAs2Au at its PBEsol-relaxed geometry.

POSCAR file:
```
MgAs2Au
1.0
2.926 0.000 0.000
0.000 3.961 0.000
0.000 0.000 6.500
Mg As Au
1 2 1
Cartesian
0.000 0.000 0.000
0.000 0.000 3.575
1.463 1.980 1.242
1.463 1.980 4.865
```

Computed properties:
Calculated volume: 75 Å³ per cell
E_form: -0.11 eV per atom
Total energy: -28.74 eV/atom

=====

Record 5
VASP calculation (meta-GGA SCAN) on PtRhBr2 at its PBEsol-relaxed geometry.

POSCAR file:
```
PtRhBr2
1.0
1.408 0.813 10.893
-1.408 0.813 10.893
0.000 -1.626 10.893
Pt Rh Br
1 1 2
Cartesian
0.000 0.000 0.000
0.000 0.000 16.339
0.000 0.000 13.973
0.000 0.000 18.706
```

Computed properties:
Calculated volume: 75 Å³ per cell
Energy above the lowest structure with this stoichiometry: 0.343 eV per atom
Total energy: -34.99 eV/atom

=====

Record 6
VASP calculation (meta-GGA SCAN) on SiP2Se at its PBEsol-relaxed geometry.

POSCAR file:
```
SiP2Se
1.0
4.240 0.000 0.000
0.000 3.565 0.000
-1.643 0.000 4.409
Si P Se
1 2 1
Cartesian
0.000 0.000 0.000
-0.240 1.782 3.548
2.837 1.782 0.861
1.298 0.000 2.204
```

Computed properties:
Calculated volume: 67 Å³ per cell
Energy above the lowest structure with this stoichiometry: 0.000 eV per atom
Total energy: -12.56 eV/atom

=====

Record 7
VASP calculation (meta-GGA SCAN) on SCl2O at its PBEsol-relaxed geometry.

POSCAR file:
```
SCl2O
1.0
9.021 0.000 0.000
0.000 5.840 0.000
-1.520 0.000 7.541
S Cl O
4 8 4
Cartesian
1.117 0.329 1.899
0.357 2.592 5.669
7.143 3.249 1.872
6.383 5.512 5.643
0.925 4.212 6.872
1.685 4.548 3.101
3.015 1.170 1.703
2.255 1.750 5.474
5.245 4.090 2.068
4.485 4.670 5.838
5.815 1.292 4.440
6.575 1.628 0.670
0.322 1.222 2.718
-0.438 1.698 6.489
7.938 4.143 1.053
7.178 4.618 4.823
```

Computed properties:
Calculated volume: 397 Å³ per cell
Total energy: -8.58 eV/atom

=====

Record 8
VASP calculation (meta-GGA SCAN) on GdHoAl6 at its PBEsol-relaxed geometry.

POSCAR file:
```
GdHoAl6
1.0
6.047 0.000 0.000
-3.023 5.237 0.000
0.000 0.000 9.506
Gd Ho Al
2 2 12
Cartesian
0.000 3.491 2.377
3.023 1.745 7.130
0.000 0.000 0.000
0.000 0.000 4.753
-1.512 2.618 0.000
-1.512 2.618 4.753
0.000 1.897 7.130
-1.381 4.288 7.130
1.643 0.948 2.377
3.023 0.000 0.000
3.023 0.000 4.753
1.512 2.618 0.000
1.512 2.618 4.753
1.381 4.288 7.130
4.404 0.948 2.377
3.023 3.340 2.377
```

Computed properties:
Calculated volume: 301 Å³ per cell
E_form: -0.43 eV per atom
Total energy: -19.72 eV/atom